NdTlGe2Br8 | PBE | optimized geometry

Structure (POSCAR):
```
NdTlGe2Br8
1.0
6.7514 0.0000 0.0000
0.4689 7.2776 0.0000
0.3620 0.6312 9.2894
Nd Tl Ge Br
1 1 2 8
direct
0.0000 0.0000 0.0000 Nd
0.0000 0.0000 0.5000 Tl
0.4587 0.4594 0.7517 Ge
0.5413 0.5406 0.2483 Ge
0.2360 0.8178 0.7810 Br
0.2438 0.3256 0.9696 Br
0.2662 0.8518 0.2241 Br
0.2702 0.3609 0.5517 Br
0.7298 0.6391 0.4483 Br
0.7338 0.1482 0.7759 Br
0.7562 0.6744 0.0304 Br
0.7640 0.1822 0.2190 Br
```

Values from the calculation:
Electronic total energy in eV per atom: -3.4954
E_form (uncorrected) in eV per atom: -1.016